## Ho2AlNi (PBE)

Data for Ho2AlNi after structural relaxation.

Results
Crystal system   tetragonal
SG   P4/mmm (123)
Calculated density   8.2 g cm⁻³
E   -5.074 eV/atom
Total moment   0.00 μB per formula unit
Density of states at the Fermi level   2.62 states/eV/cell
Formation energy from the elements   -9.3 kcal/mol of atoms

a = 3.396 Å, b = 3.396 Å, c = 7.323 Å
α = 90.00°, β = 90.00°, γ = 90.00°
Fractional coordinates of all 4 atoms:
Ho 0.000 0.000 0.225
Ho 0.000 0.000 0.775
Ni 0.500 0.500 0.000
Al 0.500 0.500 0.500

***

## HoAl6Ni3 (PBE)

Data for HoAl6Ni3 after structural relaxation.

Results
Crystal system   monoclinic
SG   P2_1/m (11)
Calculated density   5.2 g cm⁻³
E   -4.880 eV/atom
Total moment   0.00 μB per formula unit
Density of states at the Fermi level   7.17 states/eV/cell
Formation energy from the elements   -10.2 kcal/mol of atoms

a = 4.126 Å, b = 7.313 Å, c = 10.726 Å
α = 96.52°, β = 90.00°, γ = 90.00°
Fractional coordinates of all 20 atoms:
Al 0.250 0.949 0.560
Ni 0.750 0.102 0.032
Al 0.750 0.548 0.712
Al 0.250 0.586 0.561
Ni 0.250 0.898 0.968
Al 0.250 0.230 0.961
Ni 0.750 0.750 0.538
Al 0.250 0.583 0.891
Al 0.250 0.452 0.288
Ni 0.250 0.645 0.134
Ho 0.250 0.032 0.215
Al 0.750 0.414 0.439
Ni 0.250 0.250 0.462
Al 0.750 0.720 0.293
Ho 0.750 0.968 0.785
Ni 0.750 0.355 0.866
Al 0.250 0.280 0.707
Al 0.750 0.051 0.440
Al 0.750 0.770 0.039
Al 0.750 0.417 0.109